The following is a DFT calculation (GGA-PBE) of a geometry-optimized PrTl2Sb2O6 structure.

Cell lengths 10.2637, 6.4112, 8.0841 Å; angles 90.00, 117.52, 90.00 degrees
Space group C2/m (No. 12)
Symmetry-distinct sites (fractional):
Pr (0.0000, 0.0000, 0.0000)
Tl (0.2170, 0.0000, 0.7110)
Sb (0.0565, 0.5000, 0.7356)
O (0.0543, 0.2741, 0.2262)
O (0.2495, 0.5000, 0.9538)

total magnetization = 0.0000 μB per atom
ΔE_f (raw) = -1.52 eV per atom
density = 6260 kg/m3